Record 1
{
  "formula": "TbSnIr",
  "functional": "PBE",
  "state": "optimized geometry",
  "cell": [[-1.8226, -1.7187, -3.5037], [-0.8393, -6.3921, 3.5722], [-11.1358, 3.3748, 4.1373]],
  "species": ["Tb", "Tb", "Tb", "Tb", "Tb", "Tb", "Sn", "Sn", "Sn", "Sn", "Sn", "Sn", "Ir", "Ir", "Ir", "Ir", "Ir", "Ir"],
  "fractional_positions": [[0.7500, 0.5316, 0.3776], [0.2500, 0.9623, 0.7094], [0.7500, 0.0377, 0.2906], [0.7500, 0.6470, 0.0808], [0.2500, 0.4684, 0.6224], [0.2500, 0.3530, 0.9192], [0.2500, 0.9904, 0.0897], [0.2500, 0.8456, 0.4542], [0.7500, 0.6297, 0.7926], [0.7500, 0.1544, 0.5458], [0.2500, 0.3703, 0.2074], [0.7500, 0.0096, 0.9103], [0.2500, 0.7627, 0.9118], [0.7500, 0.2667, 0.7538], [0.7500, 0.7664, 0.5789], [0.7500, 0.2373, 0.0882], [0.2500, 0.2336, 0.4211], [0.2500, 0.7333, 0.2462]],
  "e_form_ev_per_atom": -0.788,
  "volume_a3_per_cell": 392,
  "crystal_system": "monoclinic",
  "magmom_total_mub_per_fu": 0.00,
  "spacegroup": "P2_1/m"
}



Record 2
{
  "formula": "Sm7DyMg2",
  "functional": "PBE",
  "state": "optimized geometry",
  "cell": [[-0.6784, 0.0341, 5.2724], [-6.7916, -6.4309, -0.8323], [9.0819, -2.0732, 1.1820]],
  "species": ["Sm", "Sm", "Sm", "Sm", "Sm", "Sm", "Sm", "Dy", "Mg", "Mg"],
  "fractional_positions": [[0.0000, 0.7885, 0.2115], [0.0000, 0.2115, 0.7885], [0.5000, 0.0698, 0.2971], [0.5000, 0.9302, 0.7029], [0.5000, 0.2971, 0.0698], [0.5000, 0.7029, 0.9302], [0.5000, 0.5000, 0.5000], [0.0000, 0.0000, 0.0000], [0.5000, 0.7017, 0.2983], [0.5000, 0.2983, 0.7017]],
  "e_form_ev_per_atom": 0.541,
  "volume_a3_per_cell": 389,
  "crystal_system": "orthorhombic",
  "magmom_total_mub_per_fu": 0.00,
  "spacegroup": "Cmmm"
}